First-principles (PBE with a Hubbard U) data for an optimized crystal structure of MnZnPbO4, as listed in Alexandria via LeMat-Bulk.

abc: 6.2926 6.4112 6.4112
angles: 61.71 60.61 60.61
Each line ends with the local moment (μB).
Sites, in units of the cell vectors:
Mn  0.5000  0.0000  0.5000  4.60
Mn  0.0000  0.0000  0.5000  4.60
Zn  0.6407  0.6093  0.1094  0.02
Zn  0.3594  0.3906  0.8906  0.02
Pb  0.0000  0.0000  0.0000  0.01
Pb  0.0000  0.5000  0.5000  0.01
O  0.7580  0.7571  0.7270  0.02
O  0.2420  0.7730  0.7429  0.02
O  0.7580  0.2270  0.2571  0.02
O  0.2420  0.2429  0.2730  0.02
O  0.2419  0.7520  0.2520  0.03
O  0.7540  0.7520  0.2520  0.03
O  0.2460  0.2480  0.7480  0.03
O  0.7581  0.2480  0.7480  0.03

Output
E, eV per atom: -5.85
Crystal system: orthorhombic